1.
Below is LaAl3Tl after structural relaxation, with properties calculated at the PBE-GGA level.

a = 5.239 Å, b = 5.239 Å, c = 5.239 Å
α = 90.00°, β = 90.00°, γ = 90.00°
Fractional positions:
La1 0.000 0.000 0.000
Al1 0.000 0.500 0.500
Al2 0.500 0.000 0.500
Al3 0.500 0.500 0.000
Tl1 0.500 0.500 0.500

Summary:
Total DFT energy (no corrections) = -3.201 eV/atom
Energy above the most stable polymorph in this dataset = 0 meV/atom

2.
Below is LaAlTl after structural relaxation, with properties calculated at the PBE-GGA level.

a = 3.440 Å, b = 3.440 Å, c = 7.984 Å
α = 90.00°, β = 90.00°, γ = 120.00°
Fractional positions:
La1 0.000 0.000 0.000
Al1 0.667 0.333 0.668
Tl1 0.333 0.667 0.368

Summary:
Total DFT energy (no corrections) = -3.659 eV/atom

3.
Below is LaAlTl after structural relaxation, with properties calculated at the PBE-GGA level.

a = 11.294 Å, b = 11.294 Å, c = 11.294 Å
α = 22.26°, β = 22.26°, γ = 22.26°
Fractional positions:
La1 0.067 0.067 0.067
La2 0.933 0.933 0.933
Al1 0.334 0.334 0.334
Al2 0.666 0.666 0.666
Tl1 0.195 0.195 0.195
Tl2 0.805 0.805 0.805

Summary:
Total DFT energy (no corrections) = -3.979 eV/atom

4.
Below is LaAlTl after structural relaxation, with properties calculated at the PBE-GGA level.

a = 6.683 Å, b = 6.683 Å, c = 6.683 Å
α = 148.69°, β = 148.69°, γ = 44.86°
Fractional positions:
La1 0.000 0.000 0.000
Al1 0.666 0.666 0.000
Tl1 0.302 0.302 0.000

Summary:
Total DFT energy (no corrections) = -3.869 eV/atom

5.
Below is LaAl2Tl2 after structural relaxation, with properties calculated at the PBE-GGA level.

a = 8.271 Å, b = 8.271 Å, c = 3.709 Å
α = 90.00°, β = 90.00°, γ = 90.00°
Fractional positions:
La1 0.000 0.000 0.000
La2 0.500 0.500 0.000
Al1 0.119 0.381 0.000
Al2 0.381 0.881 0.000
Al3 0.619 0.119 0.000
Al4 0.881 0.619 0.000
Tl1 0.174 0.674 0.500
Tl2 0.326 0.174 0.500
Tl3 0.674 0.826 0.500
Tl4 0.826 0.326 0.500

Summary:
Total DFT energy (no corrections) = -3.478 eV/atom
Energy above the most stable polymorph in this dataset = 74 meV/atom

6.
Below is La5Al2Tl after structural relaxation, with properties calculated at the PBE-GGA level.

a = 9.475 Å, b = 9.475 Å, c = 9.475 Å
α = 128.26°, β = 128.26°, γ = 76.21°
Fractional positions:
La1 0.000 0.000 0.000
La2 0.025 0.525 0.846
La3 0.179 0.025 0.500
La4 0.321 0.821 0.846
La5 0.475 0.321 0.500
La6 0.500 0.500 0.000
La7 0.525 0.679 0.500
La8 0.679 0.179 0.154
La9 0.821 0.975 0.500
La10 0.975 0.475 0.154
Al1 0.115 0.385 0.500
Al2 0.385 0.885 0.269
Al3 0.615 0.115 0.731
Al4 0.885 0.615 0.500
Tl1 0.250 0.250 0.000
Tl2 0.750 0.750 0.000

Summary:
Total DFT energy (no corrections) = -4.615 eV/atom

7.
Below is La5Al4Tl after structural relaxation, with properties calculated at the PBE-GGA level.

a = 3.814 Å, b = 3.814 Å, c = 19.438 Å
α = 90.00°, β = 90.00°, γ = 90.00°
Fractional positions:
La1 0.000 0.000 0.000
La2 0.000 0.000 0.194
La3 0.000 0.000 0.389
La4 0.000 0.000 0.611
La5 0.000 0.000 0.806
Al1 0.500 0.500 0.097
Al2 0.500 0.500 0.292
Al3 0.500 0.500 0.708
Al4 0.500 0.500 0.903
Tl1 0.500 0.500 0.500

Summary:
Total DFT energy (no corrections) = -4.569 eV/atom

8.
Below is La6Al2Tl after structural relaxation, with properties calculated at the PBE-GGA level.

a = 9.160 Å, b = 9.160 Å, c = 9.160 Å
α = 112.03°, β = 111.17°, γ = 105.29°
Fractional positions:
La1 0.036 0.823 0.214
La2 0.247 0.544 0.297
La3 0.247 0.950 0.703
La4 0.277 0.314 0.591
La5 0.277 0.686 0.963
La6 0.391 0.177 0.214
La7 0.609 0.823 0.786
La8 0.723 0.314 0.037
La9 0.723 0.686 0.409
La10 0.753 0.050 0.297
La11 0.753 0.456 0.703
La12 0.964 0.177 0.786
Al1 0.000 0.136 0.136
Al2 0.000 0.864 0.864
Al3 0.381 0.381 0.000
Al4 0.619 0.619 0.000
Tl1 0.000 0.500 0.500
Tl2 0.500 0.000 0.500

Summary:
Total DFT energy (no corrections) = -4.628 eV/atom
Energy above the most stable polymorph in this dataset = 0 meV/atom

9.
Below is LaAl4Tl after structural relaxation, with properties calculated at the PBE-GGA level.

a = 5.731 Å, b = 5.731 Å, c = 5.731 Å
α = 60.00°, β = 60.00°, γ = 60.00°
Fractional positions:
La1 0.000 0.000 0.000
Al1 0.375 0.375 0.375
Al2 0.375 0.375 0.874
Al3 0.375 0.874 0.375
Al4 0.874 0.375 0.375
Tl1 0.750 0.750 0.750

Summary:
Total DFT energy (no corrections) = -3.857 eV/atom

10.
Below is La4AlTl2 after structural relaxation, with properties calculated at the PBE-GGA level.

a = 9.471 Å, b = 9.471 Å, c = 9.471 Å
α = 33.73°, β = 33.73°, γ = 33.73°
Fractional positions:
La1 0.124 0.124 0.124
La2 0.375 0.375 0.375
La3 0.625 0.625 0.625
La4 0.876 0.876 0.876
Al1 0.500 0.500 0.500
Tl1 0.251 0.251 0.251
Tl2 0.749 0.749 0.749

Summary:
Total DFT energy (no corrections) = -4.274 eV/atom

11.
Below is LaAl3Tl after structural relaxation, with properties calculated at the PBE-GGA level.

a = 5.782 Å, b = 5.782 Å, c = 5.782 Å
α = 90.00°, β = 90.00°, γ = 90.00°
Fractional positions:
La1 0.000 0.000 0.000
Al1 0.000 0.000 0.500
Al2 0.000 0.500 0.000
Al3 0.500 0.000 0.000
Tl1 0.500 0.500 0.500

Summary:
Total DFT energy (no corrections) = -2.697 eV/atom
Energy above the most stable polymorph in this dataset = 503 meV/atom

12.
Below is La4AlTl after structural relaxation, with properties calculated at the PBE-GGA level.

a = 6.074 Å, b = 6.074 Å, c = 7.564 Å
α = 108.13°, β = 108.13°, γ = 44.32°
Fractional positions:
La1 0.150 0.150 0.334
La2 0.153 0.153 0.817
La3 0.847 0.847 0.183
La4 0.850 0.850 0.666
Al1 0.500 0.500 0.500
Tl1 0.500 0.500 0.000

Summary:
Total DFT energy (no corrections) = -4.560 eV/atom
Energy above the most stable polymorph in this dataset = 0 meV/atom

13.
Below is La6Al2Tl after structural relaxation, with properties calculated at the PBE-GGA level.

a = 7.950 Å, b = 7.950 Å, c = 11.204 Å
α = 90.00°, β = 90.00°, γ = 90.00°
Fractional positions:
La1 0.214 0.214 0.000
La2 0.226 0.226 0.326
La3 0.226 0.226 0.674
La4 0.274 0.726 0.174
La5 0.274 0.726 0.826
La6 0.286 0.714 0.500
La7 0.714 0.286 0.500
La8 0.726 0.274 0.174
La9 0.726 0.274 0.826
La10 0.774 0.774 0.326
La11 0.774 0.774 0.674
La12 0.786 0.786 0.000
Al1 0.000 0.000 0.166
Al2 0.000 0.000 0.834
Al3 0.500 0.500 0.334
Al4 0.500 0.500 0.666
Tl1 0.000 0.000 0.500
Tl2 0.500 0.500 0.000

Summary:
Total DFT energy (no corrections) = -4.290 eV/atom
Energy above the most stable polymorph in this dataset = 337 meV/atom

14.
Below is La15AlTl4 after structural relaxation, with properties calculated at the PBE-GGA level.

a = 5.048 Å, b = 5.048 Å, c = 25.256 Å
α = 90.00°, β = 90.00°, γ = 90.00°
Fractional positions:
La1 0.000 0.000 0.000
La2 0.000 0.000 0.197
La3 0.000 0.000 0.399
La4 0.000 0.000 0.601
La5 0.000 0.000 0.803
La6 0.000 0.500 0.096
La7 0.000 0.500 0.298
La8 0.000 0.500 0.500
La9 0.000 0.500 0.702
La10 0.000 0.500 0.904
La11 0.500 0.000 0.096
La12 0.500 0.000 0.298
La13 0.500 0.000 0.500
La14 0.500 0.000 0.702
La15 0.500 0.000 0.904
Al1 0.500 0.500 0.000
Tl1 0.500 0.500 0.198
Tl2 0.500 0.500 0.399
Tl3 0.500 0.500 0.601
Tl4 0.500 0.500 0.802

Summary:
Total DFT energy (no corrections) = -4.587 eV/atom

15.
Below is La2AlTl2 after structural relaxation, with properties calculated at the PBE-GGA level.

a = 8.477 Å, b = 8.477 Å, c = 4.516 Å
α = 90.00°, β = 90.00°, γ = 90.00°
Fractional positions:
La1 0.156 0.344 0.000
La2 0.344 0.844 0.000
La3 0.656 0.156 0.000
La4 0.844 0.656 0.000
Al1 0.000 0.000 0.000
Al2 0.500 0.500 0.000
Tl1 0.148 0.648 0.500
Tl2 0.352 0.148 0.500
Tl3 0.648 0.852 0.500
Tl4 0.852 0.352 0.500

Summary:
Total DFT energy (no corrections) = -3.744 eV/atom
Energy above the most stable polymorph in this dataset = 236 meV/atom

16.
Below is LaAlTl after structural relaxation, with properties calculated at the PBE-GGA level.

a = 4.979 Å, b = 4.979 Å, c = 4.979 Å
α = 60.00°, β = 60.00°, γ = 60.00°
Fractional positions:
La1 0.000 0.000 0.000
Al1 0.250 0.250 0.250
Tl1 0.500 0.500 0.500

Summary:
Total DFT energy (no corrections) = -3.855 eV/atom

17.
Below is La4AlTl after structural relaxation, with properties calculated at the PBE-GGA level.

a = 5.300 Å, b = 5.300 Å, c = 9.406 Å
α = 106.39°, β = 106.39°, γ = 60.17°
Fractional positions:
La1 0.119 0.119 0.358
La2 0.372 0.372 0.115
La3 0.628 0.628 0.885
La4 0.881 0.881 0.642
Al1 0.000 0.000 0.000
Tl1 0.500 0.500 0.500

Summary:
Total DFT energy (no corrections) = -4.406 eV/atom
Energy above the most stable polymorph in this dataset = 153 meV/atom

18.
Below is LaAl2Tl2 after structural relaxation, with properties calculated at the PBE-GGA level.

a = 8.550 Å, b = 8.550 Å, c = 3.509 Å
α = 90.00°, β = 90.00°, γ = 90.00°
Fractional positions:
La1 0.000 0.000 0.000
La2 0.500 0.500 0.000
Al1 0.164 0.336 0.500
Al2 0.336 0.836 0.500
Al3 0.664 0.164 0.500
Al4 0.836 0.664 0.500
Tl1 0.134 0.634 0.000
Tl2 0.366 0.134 0.000
Tl3 0.634 0.866 0.000
Tl4 0.866 0.366 0.000

Summary:
Total DFT energy (no corrections) = -3.418 eV/atom
Energy above the most stable polymorph in this dataset = 134 meV/atom

19.
Below is La14AlTl after structural relaxation, with properties calculated at the PBE-GGA level.

a = 7.234 Å, b = 7.234 Å, c = 10.416 Å
α = 90.00°, β = 90.00°, γ = 90.00°
Fractional positions:
La1 0.000 0.000 0.000
La2 0.000 0.500 0.000
La3 0.000 0.500 0.500
La4 0.246 0.246 0.260
La5 0.246 0.246 0.740
La6 0.246 0.754 0.260
La7 0.246 0.754 0.740
La8 0.500 0.000 0.000
La9 0.500 0.000 0.500
La10 0.500 0.500 0.000
La11 0.754 0.246 0.260
La12 0.754 0.246 0.740
La13 0.754 0.754 0.260
La14 0.754 0.754 0.740
Al1 0.000 0.000 0.500
Tl1 0.500 0.500 0.500

Summary:
Total DFT energy (no corrections) = -4.781 eV/atom

20.
Below is LaAlTl4 after structural relaxation, with properties calculated at the PBE-GGA level.

a = 6.316 Å, b = 6.316 Å, c = 6.316 Å
α = 60.00°, β = 60.00°, γ = 60.00°
Fractional positions:
La1 0.000 0.000 0.000
Al1 0.250 0.250 0.250
Tl1 0.126 0.625 0.625
Tl2 0.625 0.126 0.625
Tl3 0.625 0.625 0.126
Tl4 0.625 0.625 0.625

Summary:
Total DFT energy (no corrections) = -2.904 eV/atom